The following is a meta-GGA SCAN calculation of LaZn2In at its PBEsol-relaxed geometry, from Alexandria.

N(E_F), states/eV per atom: 0.422
ΔE_f, eV/atom: -0.2317

abc: 3.3944 3.3944 7.4178
angles: 90.00 90.00 90.00
Element x y z (fractional)
La 0.5000 0.5000 0.7722
In 0.0000 0.0000 0.4523
Zn 0.5000 0.5000 0.2176
Zn 0.0000 0.0000 0.0578